Entry from Alexandria via LeMat-Bulk: crystalline Re2HgOs at its relaxed geometry (GGA-PBE).

Total energy (eV/cell): -104.4
ΔH_f (0 K) (eV/atom): 0.403
DOS(E_F) (states/eV/cell): 13.96
Volume (A^3/atom): 16.2

a = 2.8180 Å, b = 2.8180 Å, c = 28.2279 Å
α = 90.00°, β = 90.00°, γ = 120.00°
Space group R3m (No. 160, hexagonal axes)
Asymmetric unit:
1 Re 0.0000 0.0000 0.0000 [3 per cell]
2 Re 0.0000 0.0000 0.2568 [3 per cell]
3 Hg 0.0000 0.0000 0.7577 [3 per cell]
4 Os 0.0000 0.0000 0.5151 [3 per cell]

=====

Entry from Alexandria via LeMat-Bulk: crystalline NbAlTcRu at its relaxed geometry (GGA-PBE).

Total energy (eV/cell): -35.3
ΔH_f (0 K) (eV/atom): -0.453
DOS(E_F) (states/eV/cell): 4.41
Volume (A^3/atom): 15.1

a = 3.142 Å, b = 3.142 Å, c = 6.128 Å
α = 90.00°, β = 90.00°, γ = 90.00°
Space group P4mm (No. 99)
Asymmetric unit:
1 Nb 0.000 0.000 0.000 [1 per cell]
2 Al 0.000 0.000 0.498 [1 per cell]
3 Tc 0.500 0.500 0.252 [1 per cell]
4 Ru 0.500 0.500 0.738 [1 per cell]

=====

Entry from Alexandria via LeMat-Bulk: crystalline YPbAu at its relaxed geometry (GGA-PBE).

Total energy (eV/cell): -30.3
ΔH_f (0 K) (eV/atom): -0.566
DOS(E_F) (states/eV/cell): 2.12
Volume (A^3/atom): 25.1

a = 4.728 Å, b = 4.687 Å, c = 7.191 Å
α = 90.00°, β = 108.96°, γ = 90.00°
Space group P2_1/m (No. 11)
Asymmetric unit:
1 Y 0.111 0.250 0.222 [2 per cell]
2 Pb 0.411 0.250 0.824 [2 per cell]
3 Au 0.256 0.750 0.510 [2 per cell]

=====

Entry from Alexandria via LeMat-Bulk: crystalline FeIrPb2 at its relaxed geometry (GGA-PBE).

Total energy (eV/cell): -23.4
ΔH_f (0 K) (eV/atom): 0.337
DOS(E_F) (states/eV/cell): 3.07
Volume (A^3/atom): 21.0

a = 3.973 Å, b = 4.197 Å, c = 5.408 Å
α = 90.00°, β = 111.35°, γ = 90.00°
Space group Pm (No. 6)
Asymmetric unit:
1 Fe 0.000 0.000 0.000 [1 per cell]
2 Ir 0.129 0.500 0.257 [1 per cell]
3 Pb 0.420 0.500 0.837 [1 per cell]
4 Pb 0.716 0.000 0.432 [1 per cell]

=====

Entry from Alexandria via LeMat-Bulk: crystalline TmThScTc at its relaxed geometry (GGA-PBE).

Total energy (eV/cell): -113.8
ΔH_f (0 K) (eV/atom): 0.033
DOS(E_F) (states/eV/cell): 20.52
Volume (A^3/atom): 23.3

a = 7.202 Å, b = 7.202 Å, c = 7.202 Å
α = 90.00°, β = 90.00°, γ = 90.00°
Space group F-43m (No. 216)
Asymmetric unit:
1 Tm 0.000 0.000 0.000 [4 per cell]
2 Th 0.000 0.000 0.500 [4 per cell]
3 Sc 0.250 0.250 0.750 [4 per cell]
4 Tc 0.250 0.250 0.250 [4 per cell]

=====

Entry from Alexandria via LeMat-Bulk: crystalline Sc2Cr3Si4 at its relaxed geometry (GGA-PBE).

Formation energy without anion corrections (eV/atom): -0.592
Total energy (eV/cell): -137.1
DOS(E_F) (states/eV/cell): 8.33
Volume (A^3/atom): 14.2

a = 6.506 Å, b = 6.513 Å, c = 6.398 Å
α = 90.00°, β = 109.54°, γ = 90.00°
Space group P2_1/c (No. 14)
Asymmetric unit:
1 Sc 0.189 0.169 0.057 [4 per cell]
2 Cr 0.247 0.664 0.251 [4 per cell]
3 Cr 0.500 0.000 0.500 [2 per cell]
4 Si 0.092 0.544 0.868 [4 per cell]
5 Si 0.498 0.634 0.632 [4 per cell]